[1]
Here is a relaxed TbGd2Cd3AgAu2 crystal from the Open Quantum Materials Database. Energies are from PBE-GGA.

Unit cell a=3.849 b=13.684 c=7.903 alpha=90.00 beta=90.00 gamma=90.00
Space group Amm2 (No. 38)
One atom of each set of equivalent atoms:
Tb (0.000, 0.000, 0.000) (multiplicity 2)
Gd (0.000, 0.204, 0.613) (multiplicity 4)
Cd (0.500, 0.000, 0.671) (multiplicity 2)
Cd (0.500, 0.131, 0.277) (multiplicity 4)
Ag (0.000, 0.000, 0.408) (multiplicity 2)
Au (0.500, 0.167, 0.909) (multiplicity 4)

Results
- Formation enthalpy at 0 K: -584 meV per atom

***

[2]
Here is a relaxed GdY2Cd3AgAu2 crystal from the Open Quantum Materials Database. Energies are from PBE-GGA.

Unit cell a=3.843 b=13.662 c=7.888 alpha=90.00 beta=90.00 gamma=90.00
Space group Amm2 (No. 38)
One atom of each set of equivalent atoms:
Gd (0.000, 0.000, 0.000) (multiplicity 2)
Y (0.000, 0.204, 0.613) (multiplicity 4)
Cd (0.500, 0.000, 0.671) (multiplicity 2)
Cd (0.500, 0.131, 0.277) (multiplicity 4)
Ag (0.000, 0.000, 0.408) (multiplicity 2)
Au (0.500, 0.167, 0.908) (multiplicity 4)

Results
- Formation enthalpy at 0 K: -589 meV per atom

***

[3]
Here is a relaxed Gd2YCd3AgAu2 crystal from the Open Quantum Materials Database. Energies are from PBE-GGA.

Unit cell a=3.848 b=13.680 c=7.898 alpha=90.00 beta=90.00 gamma=90.00
Space group Amm2 (No. 38)
One atom of each set of equivalent atoms:
Gd (0.000, 0.204, 0.000) (multiplicity 4)
Y (0.000, 0.000, 0.613) (multiplicity 2)
Cd (0.500, 0.000, 0.941) (multiplicity 2)
Cd (0.500, 0.131, 0.336) (multiplicity 4)
Ag (0.000, 0.000, 0.204) (multiplicity 2)
Au (0.500, 0.167, 0.704) (multiplicity 4)

Results
- Formation enthalpy at 0 K: -586 meV per atom

***

[4]
Here is a relaxed CdAgGeAu crystal from the Open Quantum Materials Database. Energies are from PBE-GGA.

Unit cell a=6.767 b=6.767 c=6.767 alpha=90.00 beta=90.00 gamma=90.00
Space group F-43m (No. 216)
One atom of each set of equivalent atoms:
Cd (0.000, 0.000, 0.000) (multiplicity 4)
Ag (0.250, 0.250, 0.750) (multiplicity 4)
Ge (0.000, 0.000, 0.500) (multiplicity 4)
Au (0.250, 0.250, 0.250) (multiplicity 4)

***

[5]
Here is a relaxed Y2Cd2AgHgAu2 crystal from the Open Quantum Materials Database. Energies are from PBE-GGA.

Unit cell a=4.966 b=4.966 c=7.040 alpha=90.00 beta=90.00 gamma=90.00
Space group P-4m2 (No. 115)
One atom of each set of equivalent atoms:
Y (0.000, 0.500, 0.247) (multiplicity 2)
Cd (0.000, 0.500, 0.759) (multiplicity 2)
Ag (0.500, 0.500, 0.000) (multiplicity 1)
Hg (0.000, 0.000, 0.500) (multiplicity 1)
Au (0.000, 0.000, 0.000) (multiplicity 1)
Au (0.500, 0.500, 0.500) (multiplicity 1)

Results
- Formation enthalpy at 0 K: -517 meV per atom

***

[6]
Here is a relaxed Ho3Cd3Ag2Au crystal from the Open Quantum Materials Database. Energies are from PBE-GGA.

Unit cell a=7.7808 b=7.7808 c=3.9422 alpha=90.00 beta=90.00 gamma=120.00
Space group P-62m (No. 189)
One atom of each set of equivalent atoms:
Ho (0.0000, 0.3981, 0.0000) (multiplicity 3)
Cd (0.0000, 0.7341, 0.5000) (multiplicity 3)
Ag (0.3333, 0.6667, 0.5000) (multiplicity 2)
Au (0.0000, 0.0000, 0.0000) (multiplicity 1)

Results
- Formation enthalpy at 0 K: -421 meV per atom

***

no.,electronic total energy (eV/f.u.)
1,-31.24
2,-34.93
3,-33.09
4,-11.36
5,-28.52
6,-29.12